# MnReAs, relaxed, DFT PBEsol
data_MnReAs
_chemical_formula_sum 'Mn4 Re4 As4'
_symmetry_space_group_name_H-M 'F -4 3 m'
_symmetry_Int_Tables_number 216
_symmetry_space_group_name_Hall 'F -4 2 3'
_cell_length_a 5.5675
_cell_length_b 5.5675
_cell_length_c 5.5675
_cell_angle_alpha 90.00
_cell_angle_beta 90.00
_cell_angle_gamma 90.00
loop_
_atom_site_label
_atom_site_fract_x
_atom_site_fract_y
_atom_site_fract_z
_atom_site_occupancy
Mn1 0.0000 0.0000 0.0000 1
Re1 0.2500 0.2500 0.7500 1
As1 0.2500 0.2500 0.2500 1
# Relative energy among the computed polymorphs = 0.000 eV/atom
# DFT total energy = -9.3424 eV per atom
# Calculated density = 12.2 Mg/m³
# DOS(E_F) = 6.458 states/eV/cell
# Crystal system = cubic